MgFe2O4 | PBE+U | optimized geometry

The crystal system is tetragonal. The offset from the most stable computed form comes out at 175.2 meV per atom.

Geometry as POSCAR:
```
MgFe2O4
1.0
0.0620 -0.1504 -6.0845
6.0711 0.0534 -0.4314
-3.0231 -4.0764 3.3603
Mg Fe O
2 4 8
Cartesian
0.0264 -1.0688 -1.4955 Mg
3.0837 -3.1046 -1.6600 Mg
3.0356 0.0267 -0.2157 Fe
4.5596 -1.9848 1.2488 Fe
1.5240 -2.0115 1.4645 Fe
3.0666 -0.0485 -3.2579 Fe
3.0838 -1.9310 -0.0481 O
-1.3704 -3.9973 1.7491 O
1.4243 -3.9742 1.4929 O
0.0503 -2.1608 0.1726 O
1.6858 -0.1992 -4.6485 O
3.0597 -2.0127 -3.3282 O
0.0263 -2.2424 -3.1075 O
4.4805 -0.1761 -4.9047 O
```